Arrangement P

Below is an optimized crystal structure of LiErPd5, with properties calculated at the GGA-PBE level.

Total magnetic moment = 0.0 Bohr magnetons per cell

a = 7.395 Å, b = 7.395 Å, c = 10.975 Å
α = 42.12°, β = 42.12°, γ = 44.35°
Atoms (fractional coordinates):
Pd (0.769, 0.231, 0.750)
Pd (0.740, 0.731, 0.385)
Pd (0.260, 0.268, 0.357)
Pd (0.740, 0.732, 0.643)
Pd (0.260, 0.269, 0.615)
Pd (0.268, 0.260, 0.857)
Pd (0.269, 0.260, 0.115)
Pd (0.732, 0.740, 0.143)
Pd (0.231, 0.769, 0.250)
Pd (0.731, 0.740, 0.885)
Li (0.000, 0.000, 0.000)
Li (0.000, 0.000, 0.500)
Er (0.748, 0.252, 0.250)
Er (0.252, 0.748, 0.750)



Arrangement Q

Below is an optimized crystal structure of LiErPd5, with properties calculated at the GGA-PBE level.

Total magnetic moment = 0.0 Bohr magnetons per cell

a = 4.151 Å, b = 4.151 Å, c = 6.790 Å
α = 90.00°, β = 90.00°, γ = 90.00°
Atoms (fractional coordinates):
Pd (0.500, 0.500, 0.500)
Pd (0.500, 0.000, 0.209)
Pd (0.000, 0.500, 0.791)
Pd (0.000, 0.500, 0.209)
Pd (0.500, 0.000, 0.791)
Er (0.000, 0.000, 0.500)
Li (0.500, 0.500, 0.000)



Most stable structure: arrangement Q



Arrangement P

Below is an optimized crystal structure of LiEr2Pd3, with properties calculated at the GGA-PBE level.

Total magnetic moment = 0.0 Bohr magnetons per cell

a = 4.798 Å, b = 4.798 Å, c = 11.502 Å
α = 90.00°, β = 90.00°, γ = 120.00°
Atoms (fractional coordinates):
Er (0.000, 0.000, 0.000)
Er (0.000, 0.000, 0.500)
Er (0.667, 0.333, 0.815)
Er (0.333, 0.667, 0.185)
Pd (0.667, 0.333, 0.571)
Pd (0.667, 0.333, 0.083)
Pd (0.000, 0.000, 0.749)
Pd (0.333, 0.667, 0.429)
Pd (0.000, 0.000, 0.251)
Pd (0.333, 0.667, 0.917)
Li (0.333, 0.667, 0.666)
Li (0.667, 0.333, 0.334)



Arrangement Q

Below is an optimized crystal structure of LiEr2Pd3, with properties calculated at the GGA-PBE level.

Total magnetic moment = 0.0 Bohr magnetons per cell

a = 3.447 Å, b = 3.447 Å, c = 9.459 Å
α = 90.00°, β = 90.00°, γ = 90.00°
Atoms (fractional coordinates):
Er (0.500, 0.500, 0.185)
Er (0.500, 0.500, 0.815)
Pd (0.000, 0.000, 0.000)
Pd (0.000, 0.000, 0.351)
Pd (0.000, 0.000, 0.649)
Li (0.500, 0.500, 0.500)



Most stable structure: arrangement Q



Arrangement P

Below is an optimized crystal structure of LiPm2Er, with properties calculated at the GGA-PBE level.

Total magnetic moment = 0.0 Bohr magnetons per cell

a = 5.548 Å, b = 5.548 Å, c = 5.548 Å
α = 60.00°, β = 60.00°, γ = 60.00°
Atoms (fractional coordinates):
Pm (0.750, 0.750, 0.750)
Pm (0.250, 0.250, 0.250)
Er (0.000, 0.000, 0.000)
Li (0.500, 0.500, 0.500)



Arrangement Q

Below is an optimized crystal structure of LiPm2Er, with properties calculated at the GGA-PBE level.

Total magnetic moment = 0.0 Bohr magnetons per cell

a = 3.541 Å, b = 3.541 Å, c = 11.565 Å
α = 81.20°, β = 81.20°, γ = 60.00°
Atoms (fractional coordinates):
Pm (0.084, 0.084, 0.748)
Pm (0.249, 0.249, 0.252)
Er (0.667, 0.667, 0.000)
Li (0.500, 0.500, 0.500)



Most stable structure: arrangement Q



Arrangement P

Below is an optimized crystal structure of LiPmEr, with properties calculated at the GGA-PBE level.

Total magnetic moment = 0.0 Bohr magnetons per cell

a = 3.419 Å, b = 11.600 Å, c = 9.107 Å
α = 101.56°, β = 100.82°, γ = 90.00°
Atoms (fractional coordinates):
Pm (0.607, 0.086, 0.214)
Pm (0.596, 0.568, 0.193)
Pm (0.404, 0.432, 0.807)
Pm (0.393, 0.914, 0.786)
Er (0.279, 0.135, 0.559)
Er (0.724, 0.367, 0.447)
Er (0.276, 0.633, 0.553)
Er (0.721, 0.865, 0.441)
Li (0.065, 0.326, 0.129)
Li (0.460, 0.193, 0.920)
Li (0.935, 0.674, 0.871)
Li (0.540, 0.807, 0.080)



Arrangement Q

Below is an optimized crystal structure of LiPmEr, with properties calculated at the GGA-PBE level.

Total magnetic moment = 0.0 Bohr magnetons per cell

a = 3.498 Å, b = 3.498 Å, c = 8.363 Å
α = 90.00°, β = 90.00°, γ = 120.00°
Atoms (fractional coordinates):
Li (0.000, 0.000, 0.996)
Er (0.333, 0.667, 0.672)
Pm (0.667, 0.333, 0.332)



Most stable structure: arrangement Q